## PaMnFe2O8 (PBE with a Hubbard U)

Data for crystalline PaMnFe2O8 at its relaxed geometry.

```
PaMnFe2O8
1.0
-3.398 3.398 3.349
3.398 -3.398 3.349
3.398 3.398 -3.349
Pa Mn Fe O
1 1 2 8
Direct
0.000 0.000 0.000
0.750 0.250 0.500
0.250 0.750 0.500
0.500 0.500 0.000
0.059 0.367 0.307
0.059 0.752 0.693
0.116 0.309 0.807
0.248 0.941 0.307
0.502 0.309 0.193
0.633 0.941 0.693
0.691 0.498 0.807
0.691 0.884 0.193
```

Summary:
density of states at the Fermi level	0.5197	states/eV/atom
SG	I-4m2
calculated density	5.64	Mg/m³
V	12.89	A^3/atom
calculated total energy	-7.359	eV per atom